Entry 1:
The following is a DFT calculation (PBE) of a relaxed BaCaTb crystal.

Cell: 3.8842 3.8842 9.6871 Å, 90.00 90.00 120.00°
Fractional positions:
Ca (0.3333, 0.6667, 0.6479)
Tb (0.6667, 0.3333, 0.3429)
Ba (0.0000, 0.0000, 0.0092)

Summary:
As for the symmetry: No. 156. The value obtained for the energy above the lowest structure with this stoichiometry is 0 meV per atom. As for the formation energy: 0.18 eV/atom.

Entry 2:
The following is a DFT calculation (PBE) of a relaxed NbTlSe2N crystal.

Cell: 5.2976 5.2976 3.9687 Å, 90.00 90.00 90.00°
Fractional positions:
Tl (0.5000, 0.5000, 0.5000)
Nb (0.0000, 0.0000, 0.0000)
Se (0.0000, 0.5000, 0.0000)
Se (0.5000, 0.0000, 0.0000)
N (0.0000, 0.0000, 0.5000)

Summary:
As for the symmetry: No. 123. The uncorrected formation energy is -0.9 eV per formula unit. The value obtained for the energy above the lowest structure with this stoichiometry is 0 meV per atom.

Entry 3:
The following is a DFT calculation (PBE) of a relaxed Hf2TiZn3 crystal.

Cell: 3.2454 3.2454 9.7907 Å, 90.00 90.00 90.00°
Fractional positions:
Hf (0.5000, 0.5000, 0.8272)
Hf (0.5000, 0.5000, 0.1728)
Ti (0.5000, 0.5000, 0.5000)
Zn (0.0000, 0.0000, 0.0000)
Zn (0.0000, 0.0000, 0.6512)
Zn (0.0000, 0.0000, 0.3488)

Summary:
As for the symmetry: No. 123. As for the formation energy: -0.19 eV/atom.

Entry 4:
The following is a DFT calculation (PBE) of a relaxed CsBaNaLi crystal.

Cell: 6.7588 6.7588 6.7588 Å, 60.00 60.00 60.00°
Fractional positions:
Cs (0.5000, 0.5000, 0.5000)
Na (0.7500, 0.7500, 0.7500)
Ba (0.0000, 0.0000, 0.0000)
Li (0.2500, 0.2500, 0.2500)

Summary:
As for the symmetry: No. 216. As for the formation energy: 0.15 eV/atom.

Entry 5:
The following is a DFT calculation (PBE) of a relaxed Sc2CoSe crystal.

Cell: 6.8779 6.8779 5.8623 Å, 54.08 54.08 90.00°
Fractional positions:
Sc (0.5969, 0.1250, 0.2500)
Sc (0.1531, 0.6250, 0.2500)
Sc (0.3750, 0.4031, 0.7500)
Sc (0.8750, 0.8469, 0.7500)
Co (0.5000, 0.5000, 0.0000)
Co (0.2500, 0.7500, 0.5000)
Se (0.0000, 0.0000, 0.0000)
Se (0.7500, 0.2500, 0.5000)

Summary:
As for the symmetry: No. 122. The uncorrected formation energy is -1.7 eV per formula unit.

Entry 6:
The following is a DFT calculation (PBE) of a relaxed CaDyY2 crystal.

Cell: 3.6055 3.6055 12.2298 Å, 81.52 81.52 60.00°
Fractional positions:
Ca (0.5005, 0.5005, 0.4985)
Dy (0.6663, 0.6663, 0.0011)
Y (0.0784, 0.0784, 0.7647)
Y (0.2548, 0.2548, 0.2357)

Summary:
As for the symmetry: No. 160. The value obtained for the energy above the lowest structure with this stoichiometry is 0 meV per atom. As for the formation energy: 0.06 eV/atom.

Entry 7:
The following is a DFT calculation (PBE) of a relaxed Cs3RbU2S9 crystal.

Cell: 7.6273 7.6273 10.1828 Å, 90.00 90.00 120.00°
Fractional positions:
Cs (0.3333, 0.6667, 0.6834)
Cs (0.0000, 0.0000, 0.0000)
Cs (0.6667, 0.3333, 0.3166)
Rb (0.0000, 0.0000, 0.5000)
U (0.3333, 0.6667, 0.1443)
U (0.6667, 0.3333, 0.8557)
S (0.8191, 0.1809, 0.7161)
S (0.8191, 0.6381, 0.7161)
S (0.3619, 0.1809, 0.7161)
S (0.6381, 0.8191, 0.2839)
S (0.1809, 0.3619, 0.2839)
S (0.1809, 0.8191, 0.2839)
S (0.5000, 0.0000, 0.0000)
S (0.0000, 0.5000, 0.0000)
S (0.5000, 0.5000, 0.0000)

Summary:
As for the symmetry: No. 164. The uncorrected formation energy is -16.4 eV per formula unit.

Entry 8:
The following is a DFT calculation (PBE) of a relaxed CrSbTe2I crystal.

Cell: 5.0418 5.0418 5.4497 Å, 90.00 90.00 90.00°
Fractional positions:
I (0.5000, 0.5000, 0.5000)
Sb (0.0000, 0.0000, 0.5000)
Te (0.0000, 0.5000, 0.0000)
Te (0.5000, 0.0000, 0.0000)
Cr (0.0000, 0.0000, 0.0000)

Summary:
As for the symmetry: No. 123. The uncorrected formation energy is 1.6 eV per formula unit. The value obtained for the energy above the lowest structure with this stoichiometry is 0 meV per atom.

Entry 9:
The following is a DFT calculation (PBE) of a relaxed Be3Tl2 crystal.

Cell: 9.9234 9.9234 9.9234 Å, 18.46 18.46 18.46°
Fractional positions:
Be (0.0000, 0.0000, 0.0000)
Be (0.8088, 0.8088, 0.8088)
Be (0.1912, 0.1912, 0.1912)
Tl (0.4030, 0.4030, 0.4030)
Tl (0.5970, 0.5970, 0.5970)

Summary:
As for the symmetry: No. 166. The value obtained for the energy above the lowest structure with this stoichiometry is 533 meV per atom. As for the formation energy: 0.80 eV/atom.

Entry 10:
The following is a DFT calculation (PBE) of a relaxed ZnGa2Re2 crystal.

Cell: 3.4661 3.4661 7.0642 Å, 75.80 75.80 90.00°
Fractional positions:
Re (0.4069, 0.4069, 0.1862)
Re (0.5931, 0.5931, 0.8138)
Zn (0.0000, 0.0000, 0.0000)
Ga (0.7500, 0.2500, 0.5000)
Ga (0.2500, 0.7500, 0.5000)

Summary:
As for the symmetry: No. 139. The value obtained for the energy above the lowest structure with this stoichiometry is 239 meV per atom. As for the formation energy: 0.50 eV/atom.

Entry 11:
The following is a DFT calculation (PBE) of a relaxed Ce8Au2C3 crystal.

Cell: 6.2872 7.0240 8.2215 Å, 115.29 103.25 90.00°
Fractional positions:
Ce (0.9564, 0.6089, 0.2177)
Ce (0.0436, 0.3911, 0.7823)
Ce (0.8930, 0.1022, 0.2043)
Ce (0.1070, 0.8978, 0.7957)
Ce (0.6124, 0.6541, 0.8147)
Ce (0.6124, 0.1605, 0.8147)
Ce (0.3876, 0.8395, 0.1853)
Ce (0.3876, 0.3459, 0.1853)
Au (0.3273, 0.2522, 0.5043)
Au (0.6727, 0.7478, 0.4957)
C (0.5000, 0.0000, 0.0000)
C (0.0000, 0.2450, 0.0000)
C (0.0000, 0.7550, 0.0000)

Summary:
As for the symmetry: No. 12. As for the formation energy: -0.21 eV/atom.

Entry 12:
The following is a DFT calculation (PBE) of a relaxed Ba2NaPr crystal.

Cell: 4.1155 4.1155 13.3801 Å, 81.15 81.15 60.00°
Fractional positions:
Ba (0.0860, 0.0860, 0.7420)
Ba (0.2473, 0.2473, 0.2581)
Na (0.6667, 0.6667, 0.9999)
Pr (0.5000, 0.5000, 0.5000)

Summary:
As for the symmetry: No. 160. The value obtained for the energy above the lowest structure with this stoichiometry is 7 meV per atom. As for the formation energy: 0.13 eV/atom.

Entry 13:
The following is a DFT calculation (PBE) of a relaxed LiAcSi crystal.

Cell: 4.7316 4.5379 8.2940 Å, 74.12 90.00 90.00°
Fractional positions:
Ac (0.7500, 0.6611, 0.6778)
Ac (0.2500, 0.3389, 0.3222)
Li (0.5000, 0.0000, 0.0000)
Li (0.0000, 0.0000, 0.0000)
Si (0.7500, 0.8601, 0.2797)
Si (0.2500, 0.1399, 0.7203)

Summary:
As for the symmetry: No. 63. The uncorrected formation energy is -0.7 eV per formula unit. The value obtained for the energy above the lowest structure with this stoichiometry is 218 meV per atom.